Arrangement a

Here is an optimized crystal structure of TaSbAs from Alexandria. Energies are from PBE.

Structure (CIF):
```
data_TaSbAs
_symmetry_space_group_name_H-M 'F -4 3 m'
_symmetry_Int_Tables_number 216
_symmetry_space_group_name_Hall 'F -4 2 3'
_cell_length_a 6.466
_cell_length_b 6.466
_cell_length_c 6.466
_cell_angle_alpha 90.00
_cell_angle_beta 90.00
_cell_angle_gamma 90.00
loop_
_atom_site_label
_atom_site_type_symbol
_atom_site_fract_x
_atom_site_fract_y
_atom_site_fract_z
Ta1 Ta 0.000 0.000 0.000
Sb1 Sb 0.000 0.000 0.500
As1 As 0.250 0.250 0.250
```

---

Arrangement b

Here is an optimized crystal structure of TaSbAs from Alexandria. Energies are from PBE.

Structure (CIF):
```
data_TaSbAs
_symmetry_space_group_name_H-M 'F m m 2'
_symmetry_Int_Tables_number 42
_symmetry_space_group_name_Hall 'F 2 -2'
_cell_length_a 3.734
_cell_length_b 4.924
_cell_length_c 15.059
_cell_angle_alpha 90.00
_cell_angle_beta 90.00
_cell_angle_gamma 90.00
loop_
_atom_site_label
_atom_site_type_symbol
_atom_site_fract_x
_atom_site_fract_y
_atom_site_fract_z
Ta1 Ta 0.000 0.000 0.000
Sb1 Sb 0.000 0.000 0.646
As1 As 0.000 0.000 0.378
```

---

Stability, highest: arrangement b

---

Arrangement a

Here is an optimized crystal structure of TaSbAs3 from Alexandria. Energies are from PBE.

Structure (CIF):
```
data_TaSbAs3
_symmetry_space_group_name_H-M 'P m -3 m'
_symmetry_Int_Tables_number 221
_symmetry_space_group_name_Hall '-P 4 2 3'
_cell_length_a 5.072
_cell_length_b 5.072
_cell_length_c 5.072
_cell_angle_alpha 90.00
_cell_angle_beta 90.00
_cell_angle_gamma 90.00
loop_
_atom_site_label
_atom_site_type_symbol
_atom_site_fract_x
_atom_site_fract_y
_atom_site_fract_z
Ta1 Ta 0.000 0.000 0.000
Sb1 Sb 0.500 0.500 0.500
As1 As 0.000 0.500 0.500
```

---

Arrangement b

Here is an optimized crystal structure of TaSbAs3 from Alexandria. Energies are from PBE.

Structure (CIF):
```
data_TaSbAs3
_symmetry_space_group_name_H-M 'P m -3 m'
_symmetry_Int_Tables_number 221
_symmetry_space_group_name_Hall '-P 4 2 3'
_cell_length_a 5.016
_cell_length_b 5.016
_cell_length_c 5.016
_cell_angle_alpha 90.00
_cell_angle_beta 90.00
_cell_angle_gamma 90.00
loop_
_atom_site_label
_atom_site_type_symbol
_atom_site_fract_x
_atom_site_fract_y
_atom_site_fract_z
Ta1 Ta 0.000 0.000 0.000
Sb1 Sb 0.500 0.500 0.500
As1 As 0.000 0.000 0.500
```

---

Stability, highest: arrangement b

---

Arrangement a

Here is an optimized crystal structure of Ta2SbAs2 from Alexandria. Energies are from PBE.

Structure (CIF):
```
data_Ta2SbAs2
_symmetry_space_group_name_H-M 'P 4/m b m'
_symmetry_Int_Tables_number 127
_symmetry_space_group_name_Hall '-P 4 2ab'
_cell_length_a 7.591
_cell_length_b 7.591
_cell_length_c 3.288
_cell_angle_alpha 90.00
_cell_angle_beta 90.00
_cell_angle_gamma 90.00
loop_
_atom_site_label
_atom_site_type_symbol
_atom_site_fract_x
_atom_site_fract_y
_atom_site_fract_z
Ta1 Ta 0.144 0.356 0.000
Sb1 Sb 0.000 0.000 0.000
As1 As 0.139 0.639 0.500
```

---

Arrangement b

Here is an optimized crystal structure of Ta2SbAs2 from Alexandria. Energies are from PBE.

Structure (CIF):
```
data_Ta2SbAs2
_symmetry_space_group_name_H-M 'P 4/m b m'
_symmetry_Int_Tables_number 127
_symmetry_space_group_name_Hall '-P 4 2ab'
_cell_length_a 7.649
_cell_length_b 7.649
_cell_length_c 3.216
_cell_angle_alpha 90.00
_cell_angle_beta 90.00
_cell_angle_gamma 90.00
loop_
_atom_site_label
_atom_site_type_symbol
_atom_site_fract_x
_atom_site_fract_y
_atom_site_fract_z
Ta1 Ta 0.154 0.346 0.000
Sb1 Sb 0.000 0.000 0.500
As1 As 0.135 0.635 0.500
```

---

Stability, highest: arrangement a

---

Arrangement a

Here is an optimized crystal structure of Tb4Sb3As from Alexandria. Energies are from PBE.

Structure (CIF):
```
data_Tb4Sb3As
_symmetry_space_group_name_H-M 'C m m m'
_symmetry_Int_Tables_number 65
_symmetry_space_group_name_Hall '-C 2 2'
_cell_length_a 8.699
_cell_length_b 12.272
_cell_length_c 4.329
_cell_angle_alpha 90.00
_cell_angle_beta 90.00
_cell_angle_gamma 90.00
loop_
_atom_site_label
_atom_site_type_symbol
_atom_site_fract_x
_atom_site_fract_y
_atom_site_fract_z
Tb1 Tb 0.000 0.244 0.000
Tb2 Tb 0.239 0.000 0.500
Sb1 Sb 0.000 0.500 0.000
Sb2 Sb 0.250 0.250 0.500
As1 As 0.000 0.000 0.000
```

---

Arrangement b

Here is an optimized crystal structure of Tb4Sb3As from Alexandria. Energies are from PBE.

Structure (CIF):
```
data_Tb4Sb3As
_symmetry_space_group_name_H-M 'P m -3 m'
_symmetry_Int_Tables_number 221
_symmetry_space_group_name_Hall '-P 4 2 3'
_cell_length_a 6.138
_cell_length_b 6.138
_cell_length_c 6.138
_cell_angle_alpha 90.00
_cell_angle_beta 90.00
_cell_angle_gamma 90.00
loop_
_atom_site_label
_atom_site_type_symbol
_atom_site_fract_x
_atom_site_fract_y
_atom_site_fract_z
Tb1 Tb 0.000 0.000 0.000
Tb2 Tb 0.000 0.500 0.500
Sb1 Sb 0.000 0.000 0.500
As1 As 0.500 0.500 0.500
```

---

Stability, highest: arrangement a

---

Arrangement a

Here is an optimized crystal structure of Sb2TeAs from Alexandria. Energies are from PBE.

Structure (CIF):
```
data_Sb2TeAs
_symmetry_space_group_name_H-M 'F m -3 m'
_symmetry_Int_Tables_number 225
_symmetry_space_group_name_Hall '-F 4 2 3'
_cell_length_a 7.410
_cell_length_b 7.410
_cell_length_c 7.410
_cell_angle_alpha 90.00
_cell_angle_beta 90.00
_cell_angle_gamma 90.00
loop_
_atom_site_label
_atom_site_type_symbol
_atom_site_fract_x
_atom_site_fract_y
_atom_site_fract_z
Sb1 Sb 0.250 0.250 0.250
Te1 Te 0.000 0.000 0.000
As1 As 0.000 0.000 0.500
```

---

Arrangement b

Here is an optimized crystal structure of Sb2TeAs from Alexandria. Energies are from PBE.

Structure (CIF):
```
data_Sb2TeAs
_symmetry_space_group_name_H-M 'I 4/m m m'
_symmetry_Int_Tables_number 139
_symmetry_space_group_name_Hall '-I 4 2'
_cell_length_a 6.157
_cell_length_b 6.157
_cell_length_c 6.011
_cell_angle_alpha 90.00
_cell_angle_beta 90.00
_cell_angle_gamma 90.00
loop_
_atom_site_label
_atom_site_type_symbol
_atom_site_fract_x
_atom_site_fract_y
_atom_site_fract_z
Sb1 Sb 0.000 0.500 0.000
Te1 Te 0.000 0.000 0.000
As1 As 0.000 0.000 0.500
```

---

Arrangement c

Here is an optimized crystal structure of Sb2TeAs from Alexandria. Energies are from PBE.

Structure (CIF):
```
data_Sb2TeAs
_symmetry_space_group_name_H-M 'I m m 2'
_symmetry_Int_Tables_number 44
_cell_length_a 3.888
_cell_length_b 3.923
_cell_length_c 15.038
_cell_angle_alpha 90.00
_cell_angle_beta 90.00
_cell_angle_gamma 90.00
loop_
_symmetry_equiv_pos_as_xyz
'x,y,z'
'-x,-y,z'
'-x,y,z'
'x,-y,z'
'x+1/2,y+1/2,z+1/2'
'-x+1/2,-y+1/2,z+1/2'
'-x+1/2,y+1/2,z+1/2'
'x+1/2,-y+1/2,z+1/2'
loop_
_atom_site_label
_atom_site_type_symbol
_atom_site_fract_x
_atom_site_fract_y
_atom_site_fract_z
Sb1 Sb 0.000 0.000 0.000
Sb2 Sb 0.000 0.500 0.215
Te1 Te 0.000 0.500 0.812
As1 As 0.000 0.000 0.563
```

---

Arrangement d

Here is an optimized crystal structure of Sb2TeAs from Alexandria. Energies are from PBE.

Structure (CIF):
```
data_Sb2TeAs
_symmetry_space_group_name_H-M 'I -4 m 2'
_symmetry_Int_Tables_number 119
_symmetry_space_group_name_Hall 'I -4 -2'
_cell_length_a 4.408
_cell_length_b 4.408
_cell_length_c 10.673
_cell_angle_alpha 90.00
_cell_angle_beta 90.00
_cell_angle_gamma 90.00
loop_
_atom_site_label
_atom_site_type_symbol
_atom_site_fract_x
_atom_site_fract_y
_atom_site_fract_z
Sb1 Sb 0.000 0.000 0.000
Sb2 Sb 0.000 0.500 0.250
Te1 Te 0.000 0.500 0.750
As1 As 0.000 0.000 0.500
```

---

Stability, highest: arrangement b

---

Arrangement a

Here is an optimized crystal structure of Sb2TeAs from Alexandria. Energies are from PBE.

Structure (CIF):
```
data_Sb2TeAs
_symmetry_space_group_name_H-M 'R 3 m'
_symmetry_Int_Tables_number 160
_symmetry_space_group_name_Hall 'R 3 -2"'
_cell_length_a 4.2275
_cell_length_b 4.2275
_cell_length_c 21.8667
_cell_angle_alpha 90.00
_cell_angle_beta 90.00
_cell_angle_gamma 120.00
loop_
_atom_site_label
_atom_site_type_symbol
_atom_site_fract_x
_atom_site_fract_y
_atom_site_fract_z
Sb1 Sb 0.0000 0.0000 0.0000
Sb2 Sb 0.0000 0.0000 0.2433
Te1 Te 0.0000 0.0000 0.7534
As1 As 0.0000 0.0000 0.5065
```

---

Arrangement b

Here is an optimized crystal structure of Sb2TeAs from Alexandria. Energies are from PBE.

Structure (CIF):
```
data_Sb2TeAs
_symmetry_space_group_name_H-M 'R 3 m'
_symmetry_Int_Tables_number 160
_symmetry_space_group_name_Hall 'R 3 -2"'
_cell_length_a 4.0719
_cell_length_b 4.0719
_cell_length_c 24.0805
_cell_angle_alpha 90.00
_cell_angle_beta 90.00
_cell_angle_gamma 120.00
loop_
_atom_site_label
_atom_site_type_symbol
_atom_site_fract_x
_atom_site_fract_y
_atom_site_fract_z
Sb1 Sb 0.0000 0.0000 0.0000
Sb2 Sb 0.0000 0.0000 0.1873
Te1 Te 0.0000 0.0000 0.7747
As1 As 0.0000 0.0000 0.6008
```

---

Stability, highest: arrangement a